Material: CsBeP
Method: DFT, meta-GGA SCAN
State: PBEsol geometry

Unit cell a=7.0311 b=7.0311 c=6.4665 alpha=106.79 beta=106.79 gamma=30.90
Element x y z (fractional)
Cs  0.0902  0.0902  0.3133
Cs  0.9098  0.9098  0.6867
Be  0.2143  0.2143  0.9235
Be  0.7857  0.7857  0.0765
P  0.3562  0.3562  0.1862
P  0.6438  0.6438  0.8138

Results
The formation energy from the elements is -0.597 eV per atom. The calculation puts the total energy at -18.12 eV per atom. As for the space-group type: C2/m. Its calculated volume is 26.1 Å³/atom.